Entry 1:
DFT (GGA-PBEsol) results for Mg6MnO8 after structural relaxation.

Geometry as extended XYZ:
```
15
Lattice="5.926 0.000 0.000 2.963 5.132 0.000 2.963 1.711 4.838" Properties=species:S:1:pos:R:3 pbc="T T T"
Mg 1.481 0.855 2.419
Mn 0.000 0.000 0.000
Mg 1.481 2.566 0.000
O 7.536 2.491 3.734
O 5.926 1.562 1.104
O 7.536 4.351 1.104
Mg 4.444 0.855 2.419
O 5.926 5.281 3.734
O 4.315 2.491 3.734
O 2.963 1.711 1.210
Mg 4.444 2.566 0.000
Mg 2.963 3.421 2.419
Mg 2.963 0.000 0.000
O 8.889 5.132 3.629
O 4.315 4.351 1.104
```

E (eV per atom): -6.6999
V (Å³/atom): 9.809
N(E_F) (states/eV per atom): 0.000
Formation energy (no corrections) (meV/atom): -2563
SG: Fm-3m



Entry 2:
DFT (GGA-PBEsol) results for MgMnO3 after structural relaxation.

Geometry as extended XYZ:
```
10
Lattice="-0.214 0.120 -4.928 3.173 -2.672 -2.673 -1.933 -4.359 -2.492" Properties=species:S:1:pos:R:3 pbc="T T T"
O 0.784 -5.255 -4.132
O 2.413 -3.459 -5.783
O 0.243 -1.656 -5.962
O 1.223 -2.441 -3.429
Mn -0.867 -5.115 -5.027
Mn 1.894 -1.796 -5.066
O -1.386 -3.452 -4.311
O -0.196 -4.470 -6.665
Mg -0.701 -2.879 -2.510
Mg 1.728 -4.032 -7.584
```

E (eV per atom): -7.5840
V (Å³/atom): 9.624
Formation energy (no corrections) (meV/atom): -2139
SG: R-3



Entry 3:
DFT (GGA-PBEsol) results for MgMnO3 after structural relaxation.

Geometry as extended XYZ:
```
20
Lattice="4.916 0.000 0.000 0.000 5.148 0.000 0.000 0.000 7.157" Properties=species:S:1:pos:R:3 pbc="T T T"
Mg 2.553 2.923 1.789
O 1.531 3.576 6.693
O 4.305 2.830 5.368
O 0.927 1.002 6.693
Mg 4.821 0.349 1.789
Mn 2.458 0.000 0.000
O 0.927 1.002 4.042
Mg 0.095 4.800 5.368
O 0.611 2.318 1.789
O 3.989 4.147 3.115
O 3.385 1.573 3.115
Mg 2.363 2.225 5.368
O 3.069 0.256 5.368
O 1.847 4.892 1.789
Mn 0.000 2.574 0.000
O 1.531 3.576 4.042
O 3.385 1.573 0.464
Mn 0.000 2.574 3.578
O 3.989 4.147 0.464
Mn 2.458 0.000 3.578
```

E (eV per atom): -7.5366
V (Å³/atom): 9.057
Formation energy (no corrections) (meV/atom): -2091
SG: Pnma



Entry 4:
DFT (GGA-PBEsol) results for MgMn2O4 after structural relaxation.

Geometry as extended XYZ:
```
14
Lattice="3.030 0.000 0.000 -1.515 4.931 0.000 0.000 0.000 9.232" Properties=species:S:1:pos:R:3 pbc="T T T"
Mn -0.249 3.584 5.267
Mn 1.765 1.347 0.651
O 1.515 0.417 2.308
O -0.476 2.710 3.561
O 1.991 2.221 8.177
O 0.476 2.710 1.055
O 1.039 2.221 5.671
Mn 1.266 1.347 3.965
O 0.045 0.000 4.616
O 0.000 4.513 6.924
O 2.986 0.000 0.000
Mg 1.515 3.994 2.308
Mg 0.000 0.936 6.924
Mn 0.249 3.584 8.581
```

E (eV per atom): -7.9193
V (Å³/atom): 9.853
ΔE to the lowest computed polymorph (kcal/mol of atoms): 0.74
N(E_F) (states/eV per atom): 0.027
Formation energy (no corrections) (meV/atom): -1885
SG: C222_1



Entry 5:
DFT (GGA-PBEsol) results for MgMnO2 after structural relaxation.

Geometry as extended XYZ:
```
16
Lattice="6.114 0.000 0.000 3.057 5.295 0.000 3.057 1.765 4.992" Properties=species:S:1:pos:R:3 pbc="T T T"
O 7.697 6.146 4.346
O 9.171 5.295 1.938
O 10.646 6.146 4.346
Mg 6.114 3.530 0.624
O 7.589 2.679 1.894
Mn 4.586 0.883 0.624
Mg 7.643 4.413 3.120
O 6.114 3.530 4.302
O 9.171 3.592 4.346
Mn 3.057 1.765 3.120
Mn 3.057 3.530 0.624
O 6.114 5.233 1.894
O 4.640 2.679 1.894
Mg 4.586 4.413 3.120
Mn 1.529 0.883 0.624
Mg 6.114 1.765 3.120
```

E (eV per atom): -7.4106
V (Å³/atom): 10.102
N(E_F) (states/eV per atom): 0.012
Formation energy (no corrections) (meV/atom): -1916
SG: Fd-3m



Entry 6:
DFT (GGA-PBEsol) results for MgMn4O8 after structural relaxation.

Geometry as extended XYZ:
```
26
Lattice="5.728 0.000 0.000 0.000 5.728 -0.054 0.000 0.075 8.103" Properties=species:S:1:pos:R:3 pbc="T T T"
O 0.155 1.433 0.097
O 1.432 3.085 6.165
O 5.565 1.469 3.922
Mn 1.432 2.973 8.051
Mn 2.829 4.353 6.061
Mg 1.432 4.324 2.999
O 1.433 0.173 1.914
O 3.019 4.334 4.121
O 1.433 2.727 1.890
Mn 1.432 5.768 8.025
O 3.028 1.468 3.921
O 4.296 5.629 5.915
O 4.296 3.074 5.939
O 2.709 1.433 0.096
O 1.432 5.622 6.141
Mn 5.694 1.451 2.037
O 5.573 4.334 4.121
Mn 4.296 2.867 4.001
O 4.297 2.721 2.117
Mn 2.899 1.451 2.036
Mn 0.034 4.353 6.061
O 4.297 0.184 2.140
O 0.163 4.370 7.947
O 2.701 4.370 7.946
Mn 4.296 0.072 4.027
Mg 4.296 1.498 7.077
```

E (eV per atom): -8.1855
V (Å³/atom): 10.226
ΔE to the lowest computed polymorph (kcal/mol of atoms): 0.00
N(E_F) (states/eV per atom): 0.205
Formation energy (no corrections) (meV/atom): -1820
SG: F-43m



Entry 7:
DFT (GGA-PBEsol) results for MgMn2O4 after structural relaxation.

Geometry as extended XYZ:
```
28
Lattice="5.565 0.000 0.000 -2.782 4.945 0.005 0.000 -0.057 10.703" Properties=species:S:1:pos:R:3 pbc="T T T"
Mn 2.821 2.162 7.868
Mg 5.482 -0.043 8.028
O 0.067 3.851 4.617
Mg 1.391 2.444 5.354
O 2.715 1.037 6.091
O 1.331 1.360 8.771
Mn 4.164 0.251 5.159
O 2.849 1.066 0.740
Mn 1.382 4.666 0.197
O 4.276 1.444 8.857
O 1.451 3.528 1.937
Mn -1.382 4.637 5.549
O -0.073 0.978 0.835
O -0.067 3.822 9.968
O 2.709 3.939 4.521
Mg 0.082 -0.014 2.676
O -1.494 3.444 1.851
O 1.494 3.415 7.202
Mg -1.391 2.473 0.002
Mn 0.039 2.697 8.192
Mn 1.401 0.222 10.511
O 1.288 1.473 3.506
O 2.855 3.910 9.873
Mn -0.039 2.726 2.840
O 4.233 1.389 3.419
O -1.451 3.499 7.289
O 0.073 0.949 6.187
Mn 2.744 2.191 2.516
```

E (eV per atom): -7.9172
V (Å³/atom): 10.520
ΔE to the lowest computed polymorph (kcal/mol of atoms): 0.79
Formation energy (no corrections) (meV/atom): -1883
SG: C2/c



Entry 8:
DFT (GGA-PBEsol) results for MgMn2O3 after structural relaxation.

Geometry as extended XYZ:
```
6
Lattice="3.058 0.000 0.000 -1.529 2.649 0.000 0.000 0.000 7.550" Properties=species:S:1:pos:R:3 pbc="T T T"
O 0.000 1.766 1.180
Mg 0.000 0.000 0.000
O 1.529 0.883 6.370
Mn 0.000 1.766 5.060
Mn 1.529 0.883 2.490
O 0.000 0.000 3.775
```

E (eV per atom): -7.8015
V (Å³/atom): 10.192
N(E_F) (states/eV per atom): 0.616
Formation energy (no corrections) (meV/atom): -1637
SG: P-3m1